# 1
## Pm5Tm (PBE)

Data for crystalline Pm5Tm at its relaxed geometry.

DOS(E_F) in states/eV/f.u.: 7.94
Formation energy from the elements in eV per atom: 0.015
Total magnetic moment in Bohr magnetons per cell: 0.000
Total DFT energy (no corrections) in eV/atom: -4.689
Volume in Å³/cell: 403.1

Unit cell a=5.124 b=10.856 c=7.247 alpha=90.00 beta=90.00 gamma=90.00
Element x y z (fractional)
Pm 0.250 0.083 0.124
Pm 0.250 0.085 0.626
Pm 0.250 0.415 0.626
Pm 0.250 0.417 0.124
Pm 0.250 0.750 0.626
Pm 0.750 0.250 0.374
Pm 0.750 0.583 0.876
Pm 0.750 0.585 0.374
Pm 0.750 0.915 0.374
Pm 0.750 0.917 0.876
Tm 0.250 0.750 0.123
Tm 0.750 0.250 0.877

# 2
## Pm2AlSi4Ni3 (PBE)

Data for crystalline Pm2AlSi4Ni3 at its relaxed geometry.

DOS(E_F) in states/eV/f.u.: 4.13
Uncorrected formation energy in meV per atom: -785
Total magnetic moment in Bohr magnetons per cell: 0.000
Total DFT energy (no corrections) in eV/atom: -6.013
Volume in Å³/cell: 160.8

Unit cell a=4.020 b=4.020 c=9.951 alpha=90.00 beta=90.00 gamma=90.00
Element x y z (fractional)
Pm 0.000 0.500 0.240
Pm 0.500 0.000 0.760
Al 0.000 0.000 0.500
Si 0.000 0.000 0.000
Si 0.000 0.500 0.648
Si 0.500 0.000 0.352
Si 0.500 0.500 0.000
Ni 0.000 0.500 0.882
Ni 0.500 0.000 0.118
Ni 0.500 0.500 0.500

# 3
## GaTeSN2 (PBE)

Data for crystalline GaTeSN2 at its relaxed geometry.

DOS(E_F) in states/eV/f.u.: 2.34
Uncorrected formation energy in meV per atom: 1270
Total magnetic moment in Bohr magnetons per cell: 3.253
Total DFT energy (no corrections) in eV/atom: -4.119
Volume in Å³/cell: 98.4
Energy above the most stable polymorph in this dataset in meV/atom: 73

Unit cell a=3.869 b=3.869 c=6.575 alpha=90.00 beta=90.00 gamma=90.00
Element x y z (fractional)
Ga 0.000 0.000 0.000
Te 0.000 0.000 0.500
S 0.500 0.500 0.500
N 0.000 0.500 0.000
N 0.500 0.000 0.000

# 4
## La2ScC (PBE)

Data for crystalline La2ScC at its relaxed geometry.

DOS(E_F) in states/eV/f.u.: 4.74
Formation energy from the elements in eV per atom: 0.081
Total magnetic moment in Bohr magnetons per cell: 0.000
Total DFT energy (no corrections) in eV/atom: -6.272
Volume in Å³/cell: 212.8

Unit cell a=7.236 b=7.236 c=7.236 alpha=95.54 beta=95.54 gamma=143.78
Element x y z (fractional)
La 0.375 0.224 0.349
La 0.776 0.125 0.151
La 0.875 0.026 0.651
La 0.974 0.625 0.849
Sc 0.250 0.750 0.500
Sc 0.500 0.500 0.000
C 0.000 0.000 0.000
C 0.750 0.250 0.500

- The lowest total DFT energy (no corrections) belongs to which entry?
  La2ScC

- What is the formula in the third record?
  GaTeSN2

- total magnetic moment of number 2 (Pm2AlSi4Ni3)?
  0.000 Bohr magnetons per cell

- The lowest DOS(E_F) belongs to which entry?
  GaTeSN2